# Na2PrWO6 (PBE with a Hubbard U, relaxed)
# ΔE to the lowest computed polymorph = 0.53 eV/f.u.
data_Na2PrWO6
_chemical_formula_sum 'Na8 Pr4 W4 O24'
_cell_length_a 8.585
_cell_length_b 8.585
_cell_length_c 8.585
_cell_angle_alpha 90.00
_cell_angle_beta 90.00
_cell_angle_gamma 90.00
_space_group_name_H-M_alt 'F m -3 m'
_space_group_IT_number 225
_space_group_name_Hall '-F 4 2 3'
loop_
_atom_site_label
_atom_site_type_symbol
_atom_site_fract_x
_atom_site_fract_y
_atom_site_fract_z
Na1 Na 0.250 0.250 0.250
Pr1 Pr 0.000 0.000 0.000
W1 W 0.000 0.000 0.500
O1 O 0.000 0.000 0.274